# CaAcTbNd PBE optimized geometry
# total magnetization = 0.00 μB/f.u.
# raw total energy = -3.769 eV per atom
# ΔH_f (0 K) = 0.108 eV per atom
data_CaAcTbNd
_cell_length_a 8.472
_cell_length_b 8.472
_cell_length_c 8.472
_cell_angle_alpha 90.00
_cell_angle_beta 90.00
_cell_angle_gamma 90.00
_symmetry_space_group_name_H-M 'F -4 3 m'
_symmetry_Int_Tables_number 216
_symmetry_space_group_name_Hall 'F -4 2 3'
loop_
_atom_site_label
_atom_site_type_symbol
_atom_site_fract_x
_atom_site_fract_y
_atom_site_fract_z
Ca1 Ca 0.000 0.000 0.000
Ac1 Ac 0.250 0.250 0.250
Tb1 Tb 0.000 0.000 0.500
Nd1 Nd 0.250 0.250 0.750